First-principles (PBE-GGA) data for an optimized crystal structure of Pa2VSi, as listed in Alexandria via LeMat-Bulk.

Magnetic moment, μB/cell: 0.00
V, Å³ per cell: 80
DFT total energy, eV per cell: -32.27
Excess energy over the best structure of this formula in the dataset, meV per atom: 516.0
Energy relative to the elements, uncorrected, meV/atom: 316

Structure (POSCAR):
```
Pa2VSi
1.0
1.5144 0.8743 10.1164
-1.5144 0.8743 10.1164
0.0000 -1.7487 10.1164
Pa V Si
2 1 1
direct
0.0845 0.0845 0.0845 Pa
0.9155 0.9155 0.9155 Pa
0.0000 0.0000 0.0000 V
0.5000 0.5000 0.5000 Si
```